Material: Ba2V3O9
Method: DFT, PBE with a Hubbard U
State: optimized geometry

Cell lengths 8.275, 8.326, 8.326 Å; angles 115.01, 105.28, 105.28 degrees
Positions (direct):
V: 0.311 0.942 0.719
V: 0.689 0.058 0.281
V: 0.653 0.849 0.849
V: 0.347 0.151 0.151
V: 0.689 0.281 0.058
V: 0.311 0.719 0.942
O: 0.153 0.499 0.891
O: 0.543 0.178 0.365
O: 0.847 0.109 0.501
O: 0.500 0.192 0.808
O: 0.252 0.284 0.284
O: 0.748 0.716 0.716
O: 0.772 0.103 0.916
O: 0.772 0.916 0.103
O: 0.500 0.808 0.192
O: 0.457 0.822 0.635
O: 0.228 0.084 0.897
O: 0.228 0.897 0.084
O: 0.153 0.891 0.499
O: 0.543 0.365 0.178
O: 0.817 0.277 0.277
O: 0.457 0.635 0.822
O: 0.183 0.723 0.723
O: 0.847 0.501 0.109
Ba: 0.788 0.744 0.423
Ba: 0.212 0.577 0.256
Ba: 0.788 0.423 0.744
Ba: 0.212 0.256 0.577

**Raw total energy**: -7.244 eV per atom
**Size of the total moment**: 0.00 μB/atom
**Density**: 4.19 g/cm3
**Polymorph energy (0 for the lowest one)**: 183 meV per atom
**Calculated volume**: 16.18 Å³ per atom